Ce4GaBi (PBE-GGA, optimized geometry); magnetic moment = 2.53 Bohr magnetons per cell; calculated formation energy = -234 meV per atom; relative energy among the computed polymorphs = 91 kJ/mol of formula units
1.0
3.197 0.000 0.000
0.000 5.111 0.000
0.000 0.000 9.144
Ce Ga Bi
4 1 1
direct
0.000 0.500 0.658 Ce
0.000 0.500 0.342 Ce
0.000 0.000 0.189 Ce
0.000 0.000 0.811 Ce
0.500 0.000 0.500 Ga
0.500 0.500 0.000 Bi